one:
DFT (PBE-GGA) results for a relaxed structure of Y2PaO6.

- crystal system = tetragonal
- SG = P4_2/mnm, No. 136
- magnetic moment (μB per cell) = 1.4

Cell: 5.147 5.147 10.600 Å, 90.00 90.00 90.00°
Fractional positions:
Y (0.000, 0.000, 0.166)
Y (0.000, 0.000, 0.834)
Y (0.500, 0.500, 0.334)
Y (0.500, 0.500, 0.666)
Pa (0.000, 0.000, 0.500)
Pa (0.500, 0.500, 0.000)
O (0.188, 0.188, 0.341)
O (0.188, 0.188, 0.659)
O (0.201, 0.201, 0.000)
O (0.299, 0.701, 0.500)
O (0.312, 0.688, 0.159)
O (0.312, 0.688, 0.841)
O (0.688, 0.312, 0.159)
O (0.688, 0.312, 0.841)
O (0.701, 0.299, 0.500)
O (0.799, 0.799, 0.000)
O (0.812, 0.812, 0.341)
O (0.812, 0.812, 0.659)



two:
DFT (PBE-GGA) results for a relaxed structure of Y2PaO6.

- crystal system = orthorhombic
- SG = Immm, No. 71
- magnetic moment (μB per cell) = 0.7

Cell: 6.608 6.608 6.608 Å, 146.07 131.52 60.49°
Fractional positions:
Y (0.168, 0.168, 0.000)
Y (0.832, 0.832, 0.000)
Pa (0.500, 0.500, 0.000)
O (0.095, 0.339, 0.756)
O (0.262, 0.000, 0.262)
O (0.417, 0.661, 0.756)
O (0.583, 0.339, 0.244)
O (0.738, 0.000, 0.738)
O (0.905, 0.661, 0.244)



Which is most stable? The ranking, best first, is two, one.



one:
DFT (PBE-GGA) results for a relaxed structure of Pd3PbO.

- crystal system = cubic
- SG = Pm-3m, No. 221
- magnetic moment (μB per cell) = 0.0

Cell: 4.371 4.371 4.371 Å, 90.00 90.00 90.00°
Fractional positions:
Pd (0.000, 0.000, 0.500)
Pd (0.000, 0.500, 0.000)
Pd (0.500, 0.000, 0.000)
Pb (0.500, 0.500, 0.500)
O (0.000, 0.000, 0.000)



two:
DFT (PBE-GGA) results for a relaxed structure of Pd3PbO.

- crystal system = cubic
- SG = Pm-3m, No. 221
- magnetic moment (μB per cell) = 0.0

Cell: 5.093 5.093 5.093 Å, 90.00 90.00 90.00°
Fractional positions:
Pd (0.000, 0.000, 0.500)
Pd (0.000, 0.500, 0.000)
Pd (0.500, 0.000, 0.000)
Pb (0.000, 0.000, 0.000)
O (0.500, 0.500, 0.500)



Which is most stable? The ranking, best first, is one, two.



one:
DFT (PBE-GGA) results for a relaxed structure of Pm3Pb2O.

- crystal system = orthorhombic
- SG = Pnma, No. 62
- magnetic moment (μB per cell) = 0.0

Cell: 9.270 4.174 17.981 Å, 90.00 90.00 90.00°
Fractional positions:
Pm (0.029, 0.250, 0.108)
Pm (0.138, 0.250, 0.578)
Pm (0.181, 0.750, 0.264)
Pm (0.319, 0.250, 0.764)
Pm (0.362, 0.750, 0.078)
Pm (0.471, 0.750, 0.608)
Pm (0.529, 0.250, 0.392)
Pm (0.638, 0.250, 0.922)
Pm (0.681, 0.750, 0.236)
Pm (0.819, 0.250, 0.736)
Pm (0.862, 0.750, 0.422)
Pm (0.971, 0.750, 0.892)
Pb (0.074, 0.750, 0.716)
Pb (0.249, 0.750, 0.450)
Pb (0.251, 0.250, 0.950)
Pb (0.426, 0.250, 0.216)
Pb (0.574, 0.750, 0.784)
Pb (0.749, 0.750, 0.050)
Pb (0.751, 0.250, 0.550)
Pb (0.926, 0.250, 0.284)
O (0.138, 0.750, 0.135)
O (0.362, 0.250, 0.635)
O (0.638, 0.750, 0.365)
O (0.862, 0.250, 0.865)



two:
DFT (PBE-GGA) results for a relaxed structure of Pm3Pb2O.

- crystal system = monoclinic
- SG = C2/c, No. 15
- magnetic moment (μB per cell) = 0.0

Cell: 7.166 7.166 8.489 Å, 99.75 99.75 54.29°
Fractional positions:
Pm (0.129, 0.871, 0.750)
Pm (0.254, 0.462, 0.334)
Pm (0.462, 0.254, 0.834)
Pm (0.538, 0.746, 0.166)
Pm (0.746, 0.538, 0.666)
Pm (0.871, 0.129, 0.250)
Pb (0.077, 0.255, 0.020)
Pb (0.255, 0.077, 0.520)
Pb (0.745, 0.923, 0.480)
Pb (0.923, 0.745, 0.980)
O (0.468, 0.532, 0.750)
O (0.532, 0.468, 0.250)



Which is most stable? The ranking, best first, is one, two.



one:
DFT (PBE-GGA) results for a relaxed structure of Pm3PbO3.

- crystal system = trigonal
- SG = R-3, No. 148
- magnetic moment (μB per cell) = 0.0

Cell: 8.934 8.934 8.934 Å, 44.66 44.66 44.66°
Fractional positions:
Pm (0.049, 0.398, 0.740)
Pm (0.260, 0.951, 0.602)
Pm (0.398, 0.740, 0.049)
Pm (0.602, 0.260, 0.951)
Pm (0.740, 0.049, 0.398)
Pm (0.951, 0.602, 0.260)
Pb (0.167, 0.167, 0.167)
Pb (0.833, 0.833, 0.833)
O (0.050, 0.697, 0.367)
O (0.303, 0.633, 0.950)
O (0.367, 0.050, 0.697)
O (0.633, 0.950, 0.303)
O (0.697, 0.367, 0.050)
O (0.950, 0.303, 0.633)



two:
DFT (PBE-GGA) results for a relaxed structure of Pm3PbO3.

- crystal system = monoclinic
- SG = C2/m, No. 12
- magnetic moment (μB per cell) = 0.0

Cell: 7.348 7.348 12.516 Å, 118.23 118.23 30.39°
Fractional positions:
Pm (0.125, 0.125, 0.440)
Pm (0.126, 0.126, 0.902)
Pm (0.344, 0.344, 0.797)
Pm (0.656, 0.656, 0.203)
Pm (0.874, 0.874, 0.098)
Pm (0.875, 0.875, 0.560)
Pb (0.387, 0.387, 0.328)
Pb (0.613, 0.613, 0.672)
O (0.061, 0.061, 0.186)
O (0.308, 0.308, 0.595)
O (0.335, 0.335, 0.984)
O (0.665, 0.665, 0.016)
O (0.692, 0.692, 0.405)
O (0.939, 0.939, 0.814)



Which is most stable? The ranking, best first, is two, one.



one:
DFT (PBE-GGA) results for a relaxed structure of Pm4Pb2O.

- crystal system = tetragonal
- SG = I4/mmm, No. 139
- magnetic moment (μB per cell) = 0.0

Cell: 9.972 9.972 9.972 Å, 152.80 152.80 38.84°
Fractional positions:
Pm (0.000, 0.500, 0.500)
Pm (0.170, 0.170, 0.000)
Pm (0.500, 0.000, 0.500)
Pm (0.830, 0.830, 0.000)
Pb (0.348, 0.348, 0.000)
Pb (0.652, 0.652, 0.000)
O (0.500, 0.500, 0.000)



two:
DFT (PBE-GGA) results for a relaxed structure of Pm4Pb2O.

- crystal system = monoclinic
- SG = P2_1/m, No. 11
- magnetic moment (μB per cell) = 0.0

Cell: 6.612 6.898 9.525 Å, 90.00 110.24 90.00°
Fractional positions:
Pm (0.036, 0.002, 0.297)
Pm (0.036, 0.498, 0.297)
Pm (0.346, 0.250, 0.045)
Pm (0.433, 0.250, 0.662)
Pm (0.567, 0.750, 0.338)
Pm (0.654, 0.750, 0.955)
Pm (0.964, 0.502, 0.703)
Pm (0.964, 0.998, 0.703)
Pb (0.193, 0.750, 0.026)
Pb (0.348, 0.750, 0.601)
Pb (0.652, 0.250, 0.399)
Pb (0.807, 0.250, 0.974)
O (0.196, 0.250, 0.788)
O (0.804, 0.750, 0.212)



Which is most stable? The ranking, best first, is two, one.